[1]
DFT (PBE) results for a geometry-optimized TmTiAgHg structure.

POSCAR file:
```
TmTiAgHg
1.0
0.000 3.487 3.487
3.487 0.000 3.487
3.487 3.487 0.000
Tm Ti Ag Hg
1 1 1 1
Direct
0.000 0.000 0.000
0.500 0.500 0.500
0.250 0.250 0.250
0.750 0.750 0.750
```

Computed properties:
Space group: F-43m (216)
Formation enthalpy at 0 K (eV per atom): -0.12
V (Å³ per atom): 21.2

[2]
DFT (PBE) results for a geometry-optimized Y3Zn6Ag20 structure.

POSCAR file:
```
Y3Zn6Ag20
1.0
0.000 6.519 6.519
6.519 0.000 6.519
6.519 6.519 0.000
Y Zn Ag
3 6 20
Direct
0.000 0.000 0.000
0.250 0.250 0.250
0.750 0.750 0.750
0.266 0.266 0.734
0.266 0.734 0.266
0.266 0.734 0.734
0.734 0.266 0.266
0.734 0.266 0.734
0.734 0.734 0.266
0.000 0.000 0.350
0.000 0.000 0.650
0.000 0.350 0.000
0.000 0.350 0.650
0.000 0.650 0.000
0.000 0.650 0.350
0.146 0.618 0.618
0.350 0.000 0.000
0.350 0.000 0.650
0.350 0.650 0.000
0.382 0.382 0.382
0.382 0.382 0.854
0.382 0.854 0.382
0.618 0.146 0.618
0.618 0.618 0.146
0.618 0.618 0.618
0.650 0.000 0.000
0.650 0.000 0.350
0.650 0.350 0.000
0.854 0.382 0.382
```

Computed properties:
Space group: Fm-3m (225)
Formation enthalpy at 0 K (eV per atom): -0.04
V (Å³ per atom): 19.1

[3]
DFT (PBE) results for a geometry-optimized ReHPd3 structure.

POSCAR file:
```
ReHPd3
1.0
4.012 0.000 0.000
0.000 4.012 0.000
0.000 0.000 4.012
Re H Pd
1 1 3
Direct
0.000 0.000 0.000
0.500 0.500 0.500
0.000 0.500 0.500
0.500 0.000 0.500
0.500 0.500 0.000
```

Computed properties:
Energy above the lowest structure with this stoichiometry (eV/atom): 0.000
Space group: Pm-3m (221)
V (Å³ per atom): 12.9

[4]
DFT (PBE) results for a geometry-optimized ReAgP2 structure.

POSCAR file:
```
ReAgP2
1.0
-1.506 1.664 6.562
1.506 -1.664 6.562
1.506 1.664 -6.562
Re Ag P
1 1 2
Direct
0.000 0.000 0.000
0.769 0.269 0.500
0.142 0.642 0.500
0.425 0.425 0.000
```

Computed properties:
Energy above the lowest structure with this stoichiometry (eV/atom): 0.096
Space group: Imm2 (44)
Formation enthalpy at 0 K (eV per atom): 0.12
V (Å³ per atom): 16.4

[5]
DFT (PBE) results for a geometry-optimized NiP8 structure.

POSCAR file:
```
NiP8
1.0
-5.329 5.329 1.822
5.329 -5.329 1.822
5.329 5.329 -1.822
Ni P
1 8
Direct
0.000 0.000 0.000
0.000 0.394 0.394
0.000 0.606 0.606
0.394 0.000 0.394
0.396 0.396 0.791
0.396 0.604 0.000
0.604 0.396 0.000
0.604 0.604 0.209
0.606 0.000 0.606
```

Computed properties:
Space group: I4/mmm (139)
Formation enthalpy at 0 K (eV per atom): 0.30
V (Å³ per atom): 23.0

[6]
DFT (PBE) results for a geometry-optimized ZrTl8S6 structure.

POSCAR file:
```
ZrTl8S6
1.0
8.358 0.000 0.000
0.000 8.005 0.000
0.000 0.000 15.002
Zr Tl S
2 16 12
Direct
0.000 0.232 0.000
0.500 0.768 0.500
0.000 0.524 0.492
0.000 0.587 0.881
0.210 0.097 0.441
0.237 0.862 0.697
0.250 0.317 0.693
0.250 0.683 0.193
0.263 0.138 0.197
0.290 0.903 0.941
0.500 0.413 0.381
0.500 0.476 0.992
0.710 0.903 0.941
0.737 0.138 0.197
0.750 0.317 0.693
0.750 0.683 0.193
0.763 0.862 0.697
0.790 0.097 0.441
0.000 0.076 0.591
0.000 0.402 0.132
0.000 0.584 0.692
0.000 0.944 0.050
0.239 0.266 0.909
0.261 0.734 0.409
0.500 0.056 0.550
0.500 0.416 0.192
0.500 0.598 0.632
0.500 0.924 0.091
0.739 0.734 0.409
0.761 0.266 0.909
```

Computed properties:
Space group: Pmn2_1 (31)
ΔE_f (raw) (kcal/mol of atoms): -12.47
V (Å³ per atom): 33.5

[7]
DFT (PBE) results for a geometry-optimized Cs12Cd6Au structure.

POSCAR file:
```
Cs12Cd6Au
1.0
8.255 4.766 4.897
-8.255 4.766 4.897
0.000 -9.532 4.897
Cs Cd Au
12 6 1
Direct
0.132 0.175 0.425
0.175 0.425 0.132
0.211 0.549 0.747
0.253 0.789 0.451
0.425 0.132 0.175
0.451 0.253 0.789
0.549 0.747 0.211
0.575 0.868 0.825
0.747 0.211 0.549
0.789 0.451 0.253
0.825 0.575 0.868
0.868 0.825 0.575
0.066 0.162 0.802
0.162 0.802 0.066
0.198 0.934 0.838
0.802 0.066 0.162
0.838 0.198 0.934
0.934 0.838 0.198
0.500 0.500 0.500
```

Computed properties:
Space group: R-3 (148)
Formation enthalpy at 0 K (eV per atom): 0.00
V (Å³ per atom): 60.8

[8]
DFT (PBE) results for a geometry-optimized AlH3Br structure.

POSCAR file:
```
AlH3Br
1.0
4.470 0.000 0.000
0.000 4.413 0.000
-0.001 0.000 6.711
Al H Br
2 6 2
Direct
0.250 0.000 0.009
0.750 0.500 0.991
0.002 0.259 0.092
0.247 0.805 0.258
0.498 0.258 0.092
0.502 0.758 0.908
0.753 0.305 0.742
0.998 0.759 0.908
0.250 0.262 0.677
0.750 0.762 0.323
```

Computed properties:
Energy above the lowest structure with this stoichiometry (eV/atom): 0.000
Space group: P2_1 (4)
V (Å³ per atom): 13.2